Entry 1:
The following is a DFT calculation (GGA-PBE) of a relaxed Cd2RhF crystal.

Lattice parameters (Å, degrees): 6.475 6.475 6.475 90.00 90.00 90.00
Positions (direct):
Cd1 0.250 0.250 0.250
Cd2 0.250 0.250 0.750
Cd3 0.250 0.750 0.250
Cd4 0.250 0.750 0.750
Cd5 0.750 0.250 0.250
Cd6 0.750 0.250 0.750
Cd7 0.750 0.750 0.250
Cd8 0.750 0.750 0.750
Rh1 0.000 0.000 0.000
Rh2 0.000 0.500 0.500
Rh3 0.500 0.000 0.500
Rh4 0.500 0.500 0.000
F1 0.000 0.000 0.500
F2 0.000 0.500 0.000
F3 0.500 0.000 0.000
F4 0.500 0.500 0.500

**DOS(E_F)**: 0.10 states/eV per atom
**Space group**: Fm-3m, No. 225
**Polymorph energy (0 for the lowest one)**: 83.5 meV per atom

***

Entry 2:
The following is a DFT calculation (GGA-PBE) of a relaxed Cd3RhF crystal.

Lattice parameters (Å, degrees): 5.168 5.168 5.168 90.00 90.00 90.00
Positions (direct):
Cd1 0.000 0.000 0.500
Cd2 0.000 0.500 0.000
Cd3 0.500 0.000 0.000
Rh1 0.000 0.000 0.000
F1 0.500 0.500 0.500

**DOS(E_F)**: 0.47 states/eV per atom
**Space group**: Pm-3m, No. 221
**Polymorph energy (0 for the lowest one)**: 129.7 meV per atom

***

Entry 3:
The following is a DFT calculation (GGA-PBE) of a relaxed CdRh3F crystal.

Lattice parameters (Å, degrees): 4.313 4.313 4.313 90.00 90.00 90.00
Positions (direct):
Cd1 0.000 0.000 0.000
Rh1 0.000 0.500 0.500
Rh2 0.500 0.000 0.500
Rh3 0.500 0.500 0.000
F1 0.500 0.500 0.500

**DOS(E_F)**: 0.94 states/eV per atom
**Space group**: Pm-3m, No. 221
**Polymorph energy (0 for the lowest one)**: 0.0 meV per atom

***

Entry 4:
The following is a DFT calculation (GGA-PBE) of a relaxed CdRhF2 crystal.

Lattice parameters (Å, degrees): 3.027 3.027 24.329 90.00 90.00 120.00
Positions (direct):
Cd1 0.000 0.000 0.000
Cd2 0.333 0.667 0.667
Cd3 0.667 0.333 0.333
Rh1 0.000 0.000 0.500
Rh2 0.333 0.667 0.167
Rh3 0.667 0.333 0.833
F1 0.000 0.000 0.104
F2 0.000 0.000 0.896
F3 0.333 0.667 0.563
F4 0.333 0.667 0.771
F5 0.667 0.333 0.229
F6 0.667 0.333 0.437

**DOS(E_F)**: 0.64 states/eV per atom
**Space group**: R-3m, No. 166
**Polymorph energy (0 for the lowest one)**: 207.2 meV per atom

***

Entry 5:
The following is a DFT calculation (GGA-PBE) of a relaxed CdRhF5 crystal.

Lattice parameters (Å, degrees): 5.604 5.604 7.652 109.01 109.01 72.89
Positions (direct):
Cd1 0.033 0.967 0.750
Cd2 0.967 0.033 0.250
Rh1 0.500 0.500 0.000
Rh2 0.500 0.500 0.500
F1 0.170 0.766 0.018
F2 0.204 0.323 0.368
F3 0.234 0.830 0.482
F4 0.323 0.204 0.868
F5 0.406 0.594 0.750
F6 0.594 0.406 0.250
F7 0.677 0.796 0.132
F8 0.766 0.170 0.518
F9 0.796 0.677 0.632
F10 0.830 0.234 0.982

**Space group**: C2/c, No. 15

***

Entry 6:
The following is a DFT calculation (GGA-PBE) of a relaxed CdRhF2 crystal.

Lattice parameters (Å, degrees): 6.447 6.447 5.708 90.00 90.00 90.00
Positions (direct):
Cd1 0.000 0.000 0.000
Cd2 0.000 0.500 0.250
Cd3 0.500 0.000 0.750
Cd4 0.500 0.500 0.500
Rh1 0.000 0.000 0.500
Rh2 0.000 0.500 0.750
Rh3 0.500 0.000 0.250
Rh4 0.500 0.500 0.000
F1 0.244 0.250 0.625
F2 0.250 0.744 0.875
F3 0.250 0.756 0.375
F4 0.256 0.250 0.125
F5 0.744 0.750 0.125
F6 0.750 0.244 0.375
F7 0.750 0.256 0.875
F8 0.756 0.750 0.625

**DOS(E_F)**: 1.01 states/eV per atom
**Space group**: I-42d, No. 122
**Polymorph energy (0 for the lowest one)**: 246.2 meV per atom

***

Entry 7:
The following is a DFT calculation (GGA-PBE) of a relaxed CdRhF crystal.

Lattice parameters (Å, degrees): 12.271 2.959 5.207 90.00 90.00 90.00
Positions (direct):
Cd1 0.000 0.000 0.000
Cd2 0.000 0.500 0.500
Cd3 0.500 0.000 0.149
Cd4 0.500 0.500 0.649
Rh1 0.181 0.000 0.333
Rh2 0.181 0.500 0.833
Rh3 0.819 0.000 0.333
Rh4 0.819 0.500 0.833
F1 0.375 0.000 0.819
F2 0.375 0.500 0.319
F3 0.625 0.000 0.819
F4 0.625 0.500 0.319

**DOS(E_F)**: 1.00 states/eV per atom
**Space group**: Amm2, No. 38

***

Entry 8:
The following is a DFT calculation (GGA-PBE) of a relaxed CdRhF2 crystal.

Lattice parameters (Å, degrees): 2.882 2.882 24.088 90.00 90.00 120.00
Positions (direct):
Cd1 0.000 0.000 0.000
Cd2 0.333 0.667 0.667
Cd3 0.667 0.333 0.333
Rh1 0.000 0.000 0.500
Rh2 0.333 0.667 0.167
Rh3 0.667 0.333 0.833
F1 0.000 0.000 0.418
F2 0.000 0.000 0.582
F3 0.333 0.667 0.084
F4 0.333 0.667 0.249
F5 0.667 0.333 0.751
F6 0.667 0.333 0.916

**DOS(E_F)**: 0.81 states/eV per atom
**Space group**: R-3m, No. 166
**Polymorph energy (0 for the lowest one)**: 0.0 meV per atom

***

Entry 9:
The following is a DFT calculation (GGA-PBE) of a relaxed CdRh3F crystal.

Lattice parameters (Å, degrees): 5.024 5.024 5.024 90.00 90.00 90.00
Positions (direct):
Cd1 0.000 0.000 0.000
Rh1 0.000 0.000 0.500
Rh2 0.000 0.500 0.000
Rh3 0.500 0.000 0.000
F1 0.500 0.500 0.500

**DOS(E_F)**: 1.75 states/eV per atom
**Space group**: Pm-3m, No. 221
**Polymorph energy (0 for the lowest one)**: 1111.9 meV per atom

***

Entry 10:
The following is a DFT calculation (GGA-PBE) of a relaxed Cd3RhF crystal.

Lattice parameters (Å, degrees): 4.566 4.566 4.566 90.00 90.00 90.00
Positions (direct):
Cd1 0.000 0.000 0.500
Cd2 0.000 0.500 0.000
Cd3 0.500 0.000 0.000
Rh1 0.500 0.500 0.500
F1 0.000 0.000 0.000

**DOS(E_F)**: 0.28 states/eV per atom
**Space group**: Pm-3m, No. 221
**Polymorph energy (0 for the lowest one)**: 0.0 meV per atom

***

Entry 11:
The following is a DFT calculation (GGA-PBE) of a relaxed CdTeRh2F crystal.

Lattice parameters (Å, degrees): 4.520 4.520 4.456 90.00 90.00 90.00
Positions (direct):
Cd1 0.000 0.000 0.000
Te1 0.500 0.500 0.000
Rh1 0.000 0.500 0.500
Rh2 0.500 0.000 0.500
F1 0.000 0.000 0.500

**DOS(E_F)**: 0.77 states/eV per atom
**Space group**: P4/mmm, No. 123

***

Entry 12:
The following is a DFT calculation (GGA-PBE) of a relaxed TiCdRhF2 crystal.

Lattice parameters (Å, degrees): 3.848 3.848 6.275 90.00 90.00 90.00
Positions (direct):
Ti1 0.000 0.000 0.000
Cd1 0.000 0.000 0.500
Rh1 0.500 0.500 0.500
F1 0.000 0.500 0.000
F2 0.500 0.000 0.000

**DOS(E_F)**: 0.83 states/eV per atom
**Space group**: P4/mmm, No. 123

***

Entry 13:
The following is a DFT calculation (GGA-PBE) of a relaxed Tl2CdRhF6 crystal.

Lattice parameters (Å, degrees): 6.214 8.807 6.230 90.00 90.00 90.00
Positions (direct):
Tl1 0.250 0.000 0.250
Tl2 0.250 0.500 0.250
Tl3 0.750 0.000 0.750
Tl4 0.750 0.500 0.750
Cd1 0.250 0.250 0.749
Cd2 0.750 0.750 0.251
Rh1 0.250 0.750 0.751
Rh2 0.750 0.250 0.249
F1 0.010 0.750 0.511
F2 0.010 0.750 0.990
F3 0.250 0.510 0.751
F4 0.250 0.990 0.751
F5 0.490 0.750 0.511
F6 0.490 0.750 0.990
F7 0.510 0.250 0.010
F8 0.510 0.250 0.489
F9 0.750 0.010 0.249
F10 0.750 0.490 0.249
F11 0.990 0.250 0.010
F12 0.990 0.250 0.489

**DOS(E_F)**: 0.25 states/eV per atom
**Space group**: Pmmn, No. 59

***

Asked for size of the total moment across the records above, the calculation gives 0.00 0.00 2.86 2.40 0.00 1.35 0.72 0.67 4.12 0.00 0.75 1.10 0.00 μB/f.u. in order.
Asked for uncorrected formation energy across the records above, the calculation gives -0.38 -0.09 0.47 -0.75 -1.77 -0.71 -0.51 -0.96 1.59 -0.22 0.18 -1.21 -1.69 eV/atom in order.